VASP calculation (PBE) on a relaxed KNa2TaBi crystal.

The total energy comes out at -16.02 eV per cell. Its calculated formation energy is 0.691 eV per atom. As for the magnetic moment: 3.08 μB/f.u.

It has space group P4/mmm (No. 123), with a = 6.044 Å, b = 6.044 Å, c = 5.547 Å, α = 90.00°, β = 90.00° and γ = 90.00°. The asymmetric unit holds K at (0.000, 0.000, 0.000), Na at (0.000, 0.500, 0.500), Ta at (0.500, 0.500, 0.000) and Bi at (0.500, 0.500, 0.500).

VASP calculation (PBE) on a relaxed SmAlNiPt3 crystal.

The total energy comes out at -144.32 eV per cell. Its calculated formation energy is -0.619 eV per atom. As for the magnetic moment: 0.00 μB/f.u.

It has space group Cmcm (No. 63), with a = 6.741 Å, b = 11.561 Å, c = 5.647 Å, α = 90.00°, β = 90.00° and γ = 90.00°. The asymmetric unit holds Sm at (0.000, 0.217, 0.250), Al at (0.000, 0.131, 0.750), Ni at (0.000, 0.442, 0.250), Pt at (0.000, 0.336, 0.750) and Pt at (0.208, 0.000, 0.000).